one | # MnPWCl2 | the Alexandria database | PBE | optimized geometry
# Calculated density ... 5.46 g cm⁻³
data_MnPWCl2
_space_group_name_H-M_alt 'P 4/m m m'
_space_group_IT_number 123
_space_group_name_Hall '-P 4 2'
_cell_length_a 4.444
_cell_length_b 4.444
_cell_length_c 5.249
_cell_angle_alpha 90.00
_cell_angle_beta 90.00
_cell_angle_gamma 90.00
loop_
_atom_site_label
_atom_site_type_symbol
_atom_site_fract_x
_atom_site_fract_y
_atom_site_fract_z
_atom_site_occupancy
Mn1 Mn 0.000 0.000 0.000 1
P1 P 0.000 0.000 0.500 1
W1 W 0.500 0.500 0.500 1
Cl1 Cl 0.000 0.500 0.000 1

two | # MnPWCl2 | the Alexandria database | PBE | optimized geometry
# Calculated density ... 5.06 g cm⁻³
data_MnPWCl2
_space_group_name_H-M_alt 'P 4/m m m'
_space_group_IT_number 123
_space_group_name_Hall '-P 4 2'
_cell_length_a 4.814
_cell_length_b 4.814
_cell_length_c 4.821
_cell_angle_alpha 90.00
_cell_angle_beta 90.00
_cell_angle_gamma 90.00
loop_
_atom_site_label
_atom_site_type_symbol
_atom_site_fract_x
_atom_site_fract_y
_atom_site_fract_z
_atom_site_occupancy
Mn1 Mn 0.000 0.000 0.000 1
P1 P 0.500 0.500 0.000 1
W1 W 0.500 0.500 0.500 1
Cl1 Cl 0.000 0.500 0.500 1

Pick two: it beats the second-best structure by 0.392 eV/atom.

one | # YMnPCl2 | the Alexandria database | PBE | optimized geometry
# Calculated density ... 2.77 g cm⁻³
data_YMnPCl2
_space_group_name_H-M_alt 'P 4/m m m'
_space_group_IT_number 123
_space_group_name_Hall '-P 4 2'
_cell_length_a 5.100
_cell_length_b 5.100
_cell_length_c 5.667
_cell_angle_alpha 90.00
_cell_angle_beta 90.00
_cell_angle_gamma 90.00
loop_
_atom_site_label
_atom_site_type_symbol
_atom_site_fract_x
_atom_site_fract_y
_atom_site_fract_z
_atom_site_occupancy
Y1 Y 0.000 0.000 0.000 1
Mn1 Mn 0.500 0.500 0.500 1
P1 P 0.000 0.000 0.500 1
Cl1 Cl 0.000 0.500 0.000 1

two | # YMnPCl2 | the Alexandria database | PBE | optimized geometry
# Calculated density ... 3.81 g cm⁻³
data_YMnPCl2
_space_group_name_H-M_alt 'P 4/m m m'
_space_group_IT_number 123
_space_group_name_Hall '-P 4 2'
_cell_length_a 4.575
_cell_length_b 4.575
_cell_length_c 5.122
_cell_angle_alpha 90.00
_cell_angle_beta 90.00
_cell_angle_gamma 90.00
loop_
_atom_site_label
_atom_site_type_symbol
_atom_site_fract_x
_atom_site_fract_y
_atom_site_fract_z
_atom_site_occupancy
Y1 Y 0.000 0.000 0.000 1
Mn1 Mn 0.500 0.500 0.500 1
P1 P 0.500 0.500 0.000 1
Cl1 Cl 0.000 0.500 0.500 1

Pick two: it beats the second-best structure by 0.130 eV/atom.

one | # MnZnP2Cl | the Alexandria database | PBE | optimized geometry
# Calculated density ... 3.57 g cm⁻³
data_MnZnP2Cl
_space_group_name_H-M_alt 'P 4/m m m'
_space_group_IT_number 123
_space_group_name_Hall '-P 4 2'
_cell_length_a 4.552
_cell_length_b 4.552
_cell_length_c 4.894
_cell_angle_alpha 90.00
_cell_angle_beta 90.00
_cell_angle_gamma 90.00
loop_
_atom_site_label
_atom_site_type_symbol
_atom_site_fract_x
_atom_site_fract_y
_atom_site_fract_z
_atom_site_occupancy
Mn1 Mn 0.000 0.000 0.000 1
Zn1 Zn 0.500 0.500 0.500 1
P1 P 0.000 0.500 0.500 1
Cl1 Cl 0.500 0.500 0.000 1

two | # MnZnP2Cl | the Alexandria database | PBE | optimized geometry
# Calculated density ... 3.84 g cm⁻³
data_MnZnP2Cl
_space_group_name_H-M_alt 'P 4/m m m'
_space_group_IT_number 123
_space_group_name_Hall '-P 4 2'
_cell_length_a 4.288
_cell_length_b 4.288
_cell_length_c 5.120
_cell_angle_alpha 90.00
_cell_angle_beta 90.00
_cell_angle_gamma 90.00
loop_
_atom_site_label
_atom_site_type_symbol
_atom_site_fract_x
_atom_site_fract_y
_atom_site_fract_z
_atom_site_occupancy
Mn1 Mn 0.000 0.000 0.000 1
Zn1 Zn 0.500 0.500 0.500 1
P1 P 0.000 0.500 0.000 1
Cl1 Cl 0.000 0.000 0.500 1

Pick two: it beats the second-best structure by 0.942 eV/atom.

one | # MnZnPCl2 | the Alexandria database | PBE | optimized geometry
# Calculated density ... 3.45 g cm⁻³
data_MnZnPCl2
_space_group_name_H-M_alt 'P 4/m m m'
_space_group_IT_number 123
_space_group_name_Hall '-P 4 2'
_cell_length_a 4.625
_cell_length_b 4.625
_cell_length_c 4.994
_cell_angle_alpha 90.00
_cell_angle_beta 90.00
_cell_angle_gamma 90.00
loop_
_atom_site_label
_atom_site_type_symbol
_atom_site_fract_x
_atom_site_fract_y
_atom_site_fract_z
_atom_site_occupancy
Mn1 Mn 0.000 0.000 0.000 1
Zn1 Zn 0.500 0.500 0.500 1
P1 P 0.000 0.000 0.500 1
Cl1 Cl 0.000 0.500 0.000 1

two | # MnZnPCl2 | the Alexandria database | PBE | optimized geometry
# Calculated density ... 3.29 g cm⁻³
data_MnZnPCl2
_space_group_name_H-M_alt 'P 4/m m m'
_space_group_IT_number 123
_space_group_name_Hall '-P 4 2'
_cell_length_a 4.688
_cell_length_b 4.688
_cell_length_c 5.107
_cell_angle_alpha 90.00
_cell_angle_beta 90.00
_cell_angle_gamma 90.00
loop_
_atom_site_label
_atom_site_type_symbol
_atom_site_fract_x
_atom_site_fract_y
_atom_site_fract_z
_atom_site_occupancy
Mn1 Mn 0.000 0.000 0.000 1
Zn1 Zn 0.500 0.500 0.500 1
P1 P 0.500 0.500 0.000 1
Cl1 Cl 0.000 0.500 0.500 1

Pick one: it beats the second-best structure by 0.245 eV/atom.

one | # ZrMnPCl2 | the Alexandria database | PBE | optimized geometry
# Calculated density ... 4.11 g cm⁻³
data_ZrMnPCl2
_space_group_name_H-M_alt 'P 4/m m m'
_space_group_IT_number 123
_space_group_name_Hall '-P 4 2'
_cell_length_a 4.472
_cell_length_b 4.472
_cell_length_c 5.011
_cell_angle_alpha 90.00
_cell_angle_beta 90.00
_cell_angle_gamma 90.00
loop_
_atom_site_label
_atom_site_type_symbol
_atom_site_fract_x
_atom_site_fract_y
_atom_site_fract_z
_atom_site_occupancy
Zr1 Zr 0.000 0.000 0.000 1
Mn1 Mn 0.500 0.500 0.500 1
P1 P 0.500 0.500 0.000 1
Cl1 Cl 0.000 0.500 0.500 1

two | # ZrMnPCl2 | the Alexandria database | PBE | optimized geometry
# Calculated density ... 3.21 g cm⁻³
data_ZrMnPCl2
_space_group_name_H-M_alt 'P 4/m m m'
_space_group_IT_number 123
_space_group_name_Hall '-P 4 2'
_cell_length_a 4.945
_cell_length_b 4.945
_cell_length_c 5.240
_cell_angle_alpha 90.00
_cell_angle_beta 90.00
_cell_angle_gamma 90.00
loop_
_atom_site_label
_atom_site_type_symbol
_atom_site_fract_x
_atom_site_fract_y
_atom_site_fract_z
_atom_site_occupancy
Zr1 Zr 0.000 0.000 0.000 1
Mn1 Mn 0.500 0.500 0.500 1
P1 P 0.000 0.000 0.500 1
Cl1 Cl 0.000 0.500 0.000 1

Pick two: it beats the second-best structure by 0.235 eV/atom.

one | # Mn2PbCl | the Alexandria database | PBE | optimized geometry
# Calculated density ... 7.20 g cm⁻³
data_Mn2PbCl
_space_group_name_H-M_alt 'P 4/m m m'
_space_group_IT_number 123
_space_group_name_Hall '-P 4 2'
_cell_length_a 3.260
_cell_length_b 3.260
_cell_length_c 7.644
_cell_angle_alpha 90.00
_cell_angle_beta 90.00
_cell_angle_gamma 90.00
loop_
_atom_site_label
_atom_site_type_symbol
_atom_site_fract_x
_atom_site_fract_y
_atom_site_fract_z
_atom_site_occupancy
Mn1 Mn 0.000 0.000 0.242 1
Pb1 Pb 0.500 0.500 0.500 1
Cl1 Cl 0.500 0.500 0.000 1

two | # Mn2PbCl | the Alexandria database | PBE | optimized geometry
# Calculated density ... 7.20 g cm⁻³
data_Mn2PbCl
_space_group_name_H-M_alt 'R -3 m'
_space_group_IT_number 166
_space_group_name_Hall '-R 3 2"'
_cell_length_a 3.4077
_cell_length_b 3.4077
_cell_length_c 24.2392
_cell_angle_alpha 90.00
_cell_angle_beta 90.00
_cell_angle_gamma 120.00
loop_
_atom_site_label
_atom_site_type_symbol
_atom_site_fract_x
_atom_site_fract_y
_atom_site_fract_z
_atom_site_occupancy
Mn1 Mn 0.0000 0.0000 0.2435 1
Pb1 Pb 0.0000 0.0000 0.0000 1
Cl1 Cl 0.0000 0.0000 0.5000 1

three | # Mn2PbCl | the Alexandria database | PBE | optimized geometry
# Calculated density ... 7.01 g cm⁻³
data_Mn2PbCl
_space_group_name_H-M_alt 'I m m 2'
_space_group_IT_number 44
_space_group_name_Hall 'I 2 -2'
_cell_length_a 3.143
_cell_length_b 5.207
_cell_length_c 10.207
_cell_angle_alpha 90.00
_cell_angle_beta 90.00
_cell_angle_gamma 90.00
loop_
_atom_site_label
_atom_site_type_symbol
_atom_site_fract_x
_atom_site_fract_y
_atom_site_fract_z
_atom_site_occupancy
Mn1 Mn 0.000 0.000 0.000 1
Mn2 Mn 0.000 0.500 0.278 1
Pb1 Pb 0.000 0.500 0.786 1
Cl1 Cl 0.000 0.000 0.585 1

Pick two: it beats the second-best structure by 0.041 eV/atom.

one | # Mn2PbCl | the Alexandria database | PBE | optimized geometry
# Calculated density ... 7.17 g cm⁻³
data_Mn2PbCl
_space_group_name_H-M_alt 'I m m m'
_space_group_IT_number 71
_space_group_name_Hall '-I 2 2'
_cell_length_a 3.245
_cell_length_b 5.853
_cell_length_c 8.600
_cell_angle_alpha 90.00
_cell_angle_beta 90.00
_cell_angle_gamma 90.00
loop_
_atom_site_label
_atom_site_type_symbol
_atom_site_fract_x
_atom_site_fract_y
_atom_site_fract_z
_atom_site_occupancy
Mn1 Mn 0.000 0.000 0.225 1
Pb1 Pb 0.000 0.500 0.000 1
Cl1 Cl 0.000 0.500 0.500 1

two | # Mn2PbCl | the Alexandria database | PBE | optimized geometry
# Calculated density ... 7.10 g cm⁻³
data_Mn2PbCl
_space_group_name_H-M_alt 'C m m m'
_space_group_IT_number 65
_space_group_name_Hall '-C 2 2'
_cell_length_a 3.324
_cell_length_b 5.765
_cell_length_c 8.601
_cell_angle_alpha 90.00
_cell_angle_beta 90.00
_cell_angle_gamma 90.00
loop_
_atom_site_label
_atom_site_type_symbol
_atom_site_fract_x
_atom_site_fract_y
_atom_site_fract_z
_atom_site_occupancy
Mn1 Mn 0.000 0.000 0.228 1
Pb1 Pb 0.000 0.500 0.500 1
Cl1 Cl 0.000 0.500 0.000 1

three | # Mn2PbCl | the Alexandria database | PBE | optimized geometry
# Calculated density ... 6.24 g cm⁻³
data_Mn2PbCl
_space_group_name_H-M_alt 'C 1 2/m 1'
_space_group_IT_number 12
_space_group_name_Hall '-C 2y'
_cell_length_a 9.678
_cell_length_b 3.121
_cell_length_c 7.819
_cell_angle_alpha 90.00
_cell_angle_beta 127.44
_cell_angle_gamma 90.00
loop_
_atom_site_label
_atom_site_type_symbol
_atom_site_fract_x
_atom_site_fract_y
_atom_site_fract_z
_atom_site_occupancy
Mn1 Mn 0.182 0.000 0.322 1
Pb1 Pb 0.000 0.000 0.500 1
Cl1 Cl 0.000 0.500 0.000 1

four | # Mn2PbCl | the Alexandria database | PBE | optimized geometry
# Calculated density ... 6.79 g cm⁻³
data_Mn2PbCl
_space_group_name_H-M_alt 'P 4 m m'
_space_group_IT_number 99
_space_group_name_Hall 'P 4 -2'
_cell_length_a 3.290
_cell_length_b 3.290
_cell_length_c 7.961
_cell_angle_alpha 90.00
_cell_angle_beta 90.00
_cell_angle_gamma 90.00
loop_
_atom_site_label
_atom_site_type_symbol
_atom_site_fract_x
_atom_site_fract_y
_atom_site_fract_z
_atom_site_occupancy
Mn1 Mn 0.000 0.000 0.000 1
Mn2 Mn 0.500 0.500 0.186 1
Pb1 Pb 0.000 0.000 0.416 1
Cl1 Cl 0.500 0.500 0.845 1

Pick four: it beats the second-best structure by 0.101 eV/atom.

one | # Mn2PbCl | the Alexandria database | PBE | optimized geometry
# Calculated density ... 6.74 g cm⁻³
data_Mn2PbCl
_space_group_name_H-M_alt 'I -4 2 d'
_space_group_IT_number 122
_space_group_name_Hall 'I -4 2bw'
_cell_length_a 7.028
_cell_length_b 7.028
_cell_length_c 7.031
_cell_angle_alpha 90.00
_cell_angle_beta 90.00
_cell_angle_gamma 90.00
loop_
_atom_site_label
_atom_site_type_symbol
_atom_site_fract_x
_atom_site_fract_y
_atom_site_fract_z
_atom_site_occupancy
Mn1 Mn 0.207 0.250 0.125 1
Pb1 Pb 0.000 0.000 0.500 1
Cl1 Cl 0.000 0.000 0.000 1

two | # Mn2PbCl | the Alexandria database | PBE | optimized geometry
# Calculated density ... 6.55 g cm⁻³
data_Mn2PbCl
_space_group_name_H-M_alt 'F -4 3 m'
_space_group_IT_number 216
_space_group_name_Hall 'F -4 2 3'
_cell_length_a 7.098
_cell_length_b 7.098
_cell_length_c 7.098
_cell_angle_alpha 90.00
_cell_angle_beta 90.00
_cell_angle_gamma 90.00
loop_
_atom_site_label
_atom_site_type_symbol
_atom_site_fract_x
_atom_site_fract_y
_atom_site_fract_z
_atom_site_occupancy
Mn1 Mn 0.000 0.000 0.000 1
Mn2 Mn 0.250 0.250 0.250 1
Pb1 Pb 0.250 0.250 0.750 1
Cl1 Cl 0.000 0.000 0.500 1

Pick one: it beats the second-best structure by 0.315 eV/atom.